(1)
A plane-wave DFT calculation with PBE was carried out for a relaxed LaMg2Zr crystal.

Geometry as POSCAR:
```
LaMg2Zr
1.0
-2.5310 4.0777 -3.5207
-3.9459 1.1032 -4.3175
-4.9655 1.7586 2.2524
Mg La Zr
2 1 1
Direct
0.0142 0.0142 0.9460
0.7525 0.7525 0.7885
0.2466 0.2466 0.2958
0.4867 0.4867 0.4698
```

Summary:
Formation energy from the elements ... 1.846 kcal/mol of atoms
Energy above the most stable polymorph in this dataset ... 0.047 eV per atom
N(E_F) ... 3.300 states/eV per cell

=====

(2)
A plane-wave DFT calculation with PBE was carried out for a relaxed LaMgZr2 crystal.

Geometry as POSCAR:
```
LaMgZr2
1.0
-3.7184 0.1907 3.9487
-1.2095 -5.2159 -0.8871
2.3532 -0.9302 2.2609
Zr La Mg
2 1 1
Direct
0.0000 0.0000 0.0000
0.5000 0.5000 0.0000
0.5000 0.0000 0.5000
0.0000 0.5000 0.5000
```

Summary:
Formation energy from the elements ... 5.756 kcal/mol of atoms
N(E_F) ... 5.260 states/eV per cell

=====

Question: The lowest formation energy from the elements belongs to which entry?
Answer: LaMg2Zr